! Pr2Tl | Alexandria | GGA-PBE | optimized geometry; values from VASP
&SYSTEM
  ibrav = 0, nat = 6, ntyp = 2
/
ATOMIC_SPECIES
Pr 140.91 Pr.upf
Tl 204.38 Tl.upf
ATOMIC_POSITIONS crystal
Pr 0.000 0.000 0.000
Pr 0.667 0.333 0.250
Pr 0.333 0.667 0.750
Pr 0.000 0.000 0.500
Tl 0.333 0.667 0.250
Tl 0.667 0.333 0.750
CELL_PARAMETERS angstrom
-4.207 3.530 -1.220
2.600 -2.809 -4.123
-4.585 -5.230 0.673
! - magnetic moment (μB/f.u.) = 0.517
! - formation energy (meV per atom) = -268
! - density (g/cm³) = 8.43
! - DFT total energy (eV/atom) = -4.243